1.
In2WBr | PBE | optimized geometry

The space group is Pm (No. 6) and the conventional cell measures 3.164, 4.928 and 5.756 Å, with angles of 90.00, 105.81 and 90.00 degrees. The distinct sites, in fractional coordinates, are In at (0.000, 0.000, 0.000), In at (0.308, 0.500, 0.625), W at (0.571, 0.500, 0.143) and Br at (0.729, 0.000, 0.462).

Its electronic total energy is -4.470 eV/atom. For the total magnetization, the calculation gives 0.000 μB per cell. The calculation puts the calculated volume at 21.59 A^3/atom.

=====

2.
SrCd3Pd | PBE | optimized geometry

The space group is P2_1/m (No. 11) and the conventional cell measures 7.282, 4.560 and 7.862 Å, with angles of 90.00, 105.50 and 90.00 degrees. The distinct sites, in fractional coordinates, are Sr at (0.204, 0.250, 0.182), Cd at (0.078, 0.250, 0.650), Cd at (0.328, 0.750, 0.898), Cd at (0.342, 0.750, 0.521) and Pd at (0.471, 0.250, 0.747).

Its electronic total energy is -2.296 eV/atom. For the total magnetization, the calculation gives 0.000 μB per cell. The calculation puts the calculated volume at 25.16 A^3/atom. The formation energy comes out at -0.372 eV/atom.

=====

3.
V2CrRu | PBE | optimized geometry

The space group is Fm-3m (No. 225) and the conventional cell measures 5.927, 5.927 and 5.927 Å, with angles of 90.00, 90.00 and 90.00 degrees. The distinct sites, in fractional coordinates, are V at (0.250, 0.250, 0.250), Cr at (0.000, 0.000, 0.000) and Ru at (0.000, 0.000, 0.500).

Its electronic total energy is -9.531 eV/atom. For the total magnetization, the calculation gives 0.001 μB per cell. The calculation puts the calculated volume at 13.02 A^3/atom. The formation energy comes out at -0.247 eV/atom.

=====

4.
CaTbTlBr6 | PBE | optimized geometry

The space group is P-31c (No. 163) and the conventional cell measures 7.4678, 7.4678 and 14.3899 Å, with angles of 90.00, 90.00 and 120.00 degrees. The distinct sites, in fractional coordinates, are Ca at (0.3333, 0.6667, 0.2500), Tb at (0.3333, 0.6667, 0.7500), Tl at (0.0000, 0.0000, 0.0000) and Br at (0.0090, 0.3739, 0.6368).

Its electronic total energy is -3.840 eV/atom. For the total magnetization, the calculation gives 0.000 μB per cell. The calculation puts the calculated volume at 38.61 A^3/atom.